Compound: La4Te2RuBr
Source: the Alexandria database
Functional: PBE
Structure: relaxed

Computed properties:
Its formation energy from raw total energies is -1187 meV per atom. As for the uncorrected energy: -5.805 eV per atom. The density is 6508 kg/m3. The volume comes out at 31.63 Å³ per atom.

Unit cell a=7.769 b=4.338 c=7.857 alpha=90.00 beta=107.14 gamma=90.00
Sites, in units of the cell vectors:
La: 0.218 0.000 0.216
La: 0.225 0.500 0.774
La: 0.775 0.500 0.226
La: 0.782 0.000 0.784
Te: 0.000 0.000 0.500
Te: 0.500 0.500 0.500
Ru: 0.000 0.500 0.000
Br: 0.500 0.000 0.000



Compound: LaThRuBr
Source: the Alexandria database
Functional: PBE
Structure: relaxed

Computed properties:
Its formation energy from raw total energies is -906 meV per atom. As for the uncorrected energy: -6.730 eV per atom. The density is 7738 kg/m3. The volume comes out at 29.61 Å³ per atom.

Unit cell a=8.424 b=8.424 c=8.424 alpha=28.26 beta=28.26 gamma=28.26
Sites, in units of the cell vectors:
La: 0.000 0.000 0.000
Th: 0.207 0.207 0.207
Ru: 0.597 0.597 0.597
Br: 0.769 0.769 0.769



Compound: La2ZnRuBr
Source: the Alexandria database
Functional: PBE
Structure: relaxed

Computed properties:
Its formation energy from raw total energies is -577 meV per atom. As for the uncorrected energy: -4.993 eV per atom. The density is 5997 kg/m3. The volume comes out at 29.03 Å³ per atom.

Unit cell a=5.411 b=5.411 c=4.957 alpha=90.00 beta=90.00 gamma=90.00
Sites, in units of the cell vectors:
La: 0.000 0.500 0.000
La: 0.500 0.000 0.000
Zn: 0.000 0.000 0.500
Ru: 0.000 0.000 0.000
Br: 0.500 0.500 0.500



Compound: La2S2Br
Source: the Alexandria database
Functional: PBE
Structure: relaxed

Computed properties:
Its formation energy from raw total energies is -2037 meV per atom. As for the uncorrected energy: -5.994 eV per atom. The value obtained for the energy relative to the lowest polymorph listed for this composition is 0.000 eV/atom. The density is 5573 kg/m3. The volume comes out at 25.14 Å³ per atom.

Unit cell a=8.139 b=8.139 c=3.795 alpha=90.00 beta=90.00 gamma=90.00
Sites, in units of the cell vectors:
La: 0.156 0.344 0.000
La: 0.344 0.844 0.000
La: 0.656 0.156 0.000
La: 0.844 0.656 0.000
S: 0.140 0.640 0.500
S: 0.360 0.140 0.500
S: 0.640 0.860 0.500
S: 0.860 0.360 0.500
Br: 0.000 0.000 0.000
Br: 0.500 0.500 0.000



- Among the records above, which one has the lowest volume?
  La2S2Br